Record 1
! CdCoTeO GGA+U optimized geometry; values from VASP
&SYSTEM
  ibrav = 0, nat = 16, ntyp = 4
/
ATOMIC_SPECIES
Cd 112.41 Cd.upf
Co 58.93 Co.upf
O 16.00 O.upf
Te 127.60 Te.upf
ATOMIC_POSITIONS angstrom
Cd 2.8498 0.0000 2.8521
Cd 6.2129 0.0000 3.8867
Cd 0.5134 1.7587 9.5909
Cd 3.8765 1.7587 10.6255
Co 5.2706 1.7587 1.1143
Co 1.9074 1.7587 5.6245
Co 4.8189 0.0000 7.8531
Co 1.4557 0.0000 12.3633
O 4.9020 0.0000 2.1202
O 1.5388 0.0000 4.6186
O 5.1874 1.7587 8.8590
O 1.8243 1.7587 11.3574
Te 1.3144 1.7587 1.0399
Te 4.6776 1.7587 5.6989
Te 2.0487 0.0000 7.7788
Te 5.4118 0.0000 12.4377
CELL_PARAMETERS angstrom
6.7263 0.0000 0.0000
0.0000 3.5174 0.0000
0.0000 0.0000 13.4777
! **Total DFT energy (no corrections)**: -3.664 eV per atom
! **M_tot**: 0.146 μB/atom
! **Energy above the lowest structure with this stoichiometry**: 371 meV per atom

***

Record 2
! CdCoTeO GGA+U optimized geometry; values from VASP
&SYSTEM
  ibrav = 0, nat = 16, ntyp = 4
/
ATOMIC_SPECIES
Cd 112.41 Cd.upf
Co 58.93 Co.upf
O 16.00 O.upf
Te 127.60 Te.upf
ATOMIC_POSITIONS angstrom
Cd 1.4931 2.9756 1.1972
Cd 4.5097 2.9756 5.5030
Cd 1.5236 0.9919 7.8973
Cd 4.5403 0.9919 12.2031
Co 3.6915 0.9919 2.7513
Co 0.6749 0.9919 3.9488
Co 5.3584 2.9756 9.4515
Co 2.3418 2.9756 10.6490
O 1.7702 0.9919 2.3797
O 4.7869 0.9919 4.3205
O 1.2465 2.9756 9.0798
O 4.2631 2.9756 11.0206
Te 4.6025 2.9756 1.2088
Te 1.5858 2.9756 5.4914
Te 4.4475 0.9919 7.9090
Te 1.4308 0.9919 12.1915
CELL_PARAMETERS angstrom
6.0333 0.0000 0.0000
0.0000 3.9674 0.0000
0.0000 0.0000 13.4003
! **Total DFT energy (no corrections)**: -4.035 eV per atom
! **M_tot**: 0.750 μB/atom
! **Energy above the lowest structure with this stoichiometry**: 0 meV per atom

***

Which of these has the highest total DFT energy (no corrections)? number 1